Computed, not measured: a geometry-optimized Dy2HoReO8 structure at the PBE-GGA level of DFT.

The crystal system is orthorhombic. The calculation puts the total energy at -8.29 eV per atom.

Cell: 7.0851 7.1784 6.7326 Å, 90.00 90.00 90.00°
Space group Cmmm (No. 65)
Symmetry-distinct sites (fractional):
1 Dy 0.0000 0.0000 0.2479 (multiplicity 4)
2 Ho 0.0000 0.5000 0.0000 (multiplicity 2)
3 Re 0.0000 0.5000 0.5000 (multiplicity 2)
4 O 0.0000 0.3189 0.2920 (multiplicity 8)
5 O 0.1941 0.0000 0.0000 (multiplicity 4)
6 O 0.2320 0.0000 0.5000 (multiplicity 4)